# 1
DFT (GGA-PBE) results for CuP2Os after structural relaxation.

```
CuP2Os
1.0
6.293 0.011 -0.007
4.683 4.204 0.007
-5.325 -2.532 2.199
P Os Cu
2 1 1
Cartesian
10.446 4.011 0.000 P
1.957 1.710 1.103 P
3.630 -0.053 1.096 Os
6.084 2.336 0.000 Cu
```

Computed properties:
* offset from the most stable computed form: 163.5 meV/atom
* V: 14.53 A^3/atom
* total energy: -25.68 eV for the cell shown
* calculated formation energy: 0.12 eV per atom

***

# 2
DFT (GGA-PBE) results for CuPOs2 after structural relaxation.

```
CuPOs2
1.0
-4.344 1.560 0.812
-2.685 -3.234 2.072
4.267 1.714 0.903
P Os Cu
1 2 1
Cartesian
-3.514 -0.837 1.442 P
-0.966 -1.179 2.208 Os
0.000 0.000 0.000 Os
-1.795 1.218 1.578 Cu
```

Computed properties:
* V: 13.29 A^3/atom
* total energy: -30.09 eV for the cell shown
* calculated formation energy: 0.47 eV per atom

***

# 3
DFT (GGA-PBE) results for CuPOs2 after structural relaxation.

```
CuPOs2
1.0
-2.831 -0.887 -3.083
-0.654 -4.053 -1.202
-3.680 -1.952 0.973
Os Cu P
2 1 1
Cartesian
-5.373 -5.169 -2.484 Os
0.000 0.000 0.000 Os
-3.582 -3.446 -1.656 Cu
-1.791 -1.723 -0.828 P
```

Computed properties:
* V: 13.84 A^3/atom
* total energy: -29.67 eV for the cell shown
* calculated formation energy: 0.57 eV per atom

***

# 4
DFT (GGA-PBE) results for CuP2Os after structural relaxation.

```
CuP2Os
1.0
-2.844 -0.129 -0.418
1.138 -0.074 2.641
-0.420 7.979 0.403
P Cu Os
2 1 1
Cartesian
-0.419 7.958 0.402 P
-0.211 4.010 0.203 P
-0.958 1.894 1.213 Cu
-1.167 5.883 1.414 Os
```

Computed properties:
* offset from the most stable computed form: 492.1 meV/atom
* V: 14.11 A^3/atom
* total energy: -24.37 eV for the cell shown
* calculated formation energy: 0.44 eV per atom

***

- Which of these has the lowest calculated formation energy?
  number 1